No. 1
CaCu2NiC: optimized geometry, PBE.

## Properties
Energy of formation from the pure elements   2.22 eV/atom
Symmetry   No. 123
Theoretical density   4.14 g/cm3
Calculated volume   19.06 A^3/atom

abc: 4.7958 4.1444 4.7958
angles: 90.00 90.00 90.00
Last column: nearest neighbours and their distance in Å.
Fractional positions:
Cu 0.0000 0.0000 0.5000  2 Ca 2.40
C 0.0000 0.5000 0.0000  2 Ca 2.07
Cu 0.5000 0.0000 0.0000  2 Ca 2.40
Ca 0.0000 0.0000 0.0000  2 C 2.07
Ni 0.5000 0.5000 0.5000  8 Cu 3.17, 4 C 3.39

No. 2
CaCuC2O6: optimized geometry, PBE.

## Properties
Symmetry   No. 148
ΔE_f (raw)   -15.981 eV/f.u.
Theoretical density   3.36 g/cm3
Calculated volume   11.07 A^3/atom

abc: 4.8633 4.8633 6.0886
angles: 66.46 66.46 60.00
Last column: nearest neighbours and their distance in Å.
Fractional positions:
O 0.5024 0.7321 0.7310  1 C 1.30
C 0.7578 0.7578 0.7266  3 O 1.30
O 0.2679 0.9655 0.2690  1 C 1.30
O 0.9655 0.4976 0.2690  1 C 1.30
Cu 0.5000 0.5000 0.5000  6 O 2.13
O 0.4976 0.2679 0.2690  1 C 1.30
O 0.7321 0.0345 0.7310  1 C 1.30
C 0.2422 0.2422 0.2734  3 O 1.30
O 0.0345 0.5024 0.7310  1 C 1.30
Ca 0.0000 0.0000 0.0000  6 O 2.38

No. 3
Ca2CuCO5: optimized geometry, PBE.

## Properties
Symmetry   No. 25
ΔE_f (raw)   -17.200 eV/f.u.
Theoretical density   3.39 g/cm3
Calculated volume   12.83 A^3/atom

abc: 3.5255 4.5392 7.2170
angles: 90.00 90.00 90.00
Last column: nearest neighbours and their distance in Å.
Fractional positions:
O 0.5000 0.0702 0.5000  2 Cu 1.81
C 0.0000 0.0032 0.0000  3 O 1.30
O 0.0000 0.7172 0.0000  1 C 1.30
Ca 0.5000 0.4618 0.7201  5 O 2.38-2.44
O 0.0000 0.1474 0.1558  1 C 1.30
O 0.0000 0.1474 0.8442  1 C 1.30
O 0.0000 0.5452 0.5000  1 Cu 1.96
Ca 0.5000 0.4618 0.2799  5 O 2.38-2.44
Cu 0.0000 0.9778 0.5000  3 O 1.81-1.96

No. 4
Ca2CuPtC: optimized geometry, PBE.

## Properties
Energy of formation from the pure elements   0.16 eV/atom
Symmetry   No. 123
Theoretical density   5.73 g/cm3
Calculated volume   20.34 A^3/atom

abc: 5.3533 3.5487 5.3533
angles: 90.00 90.00 90.00
Last column: nearest neighbours and their distance in Å.
Fractional positions:
Ca 0.0000 0.0000 0.5000  2 Cu 2.68
Pt 0.5000 0.5000 0.5000  8 Ca 3.21, 2 Pt 3.55
Cu 0.0000 0.0000 0.0000  2 C 1.77
C 0.0000 0.5000 0.0000  2 Cu 1.77
Ca 0.5000 0.0000 0.0000  2 Cu 2.68

No. 5
CaCuReC2: optimized geometry, PBE.

## Properties
Energy of formation from the pure elements   2.30 eV/atom
Symmetry   No. 123
Theoretical density   6.92 g/cm3
Calculated volume   15.07 A^3/atom

abc: 3.9894 4.7337 3.9894
angles: 90.00 90.00 90.00
Last column: nearest neighbours and their distance in Å.
Fractional positions:
Cu 0.0000 0.0000 0.0000  4 C 1.99
Re 0.0000 0.5000 0.0000  2 Cu 2.37
Ca 0.5000 0.5000 0.5000  4 Re 2.82, 8 C 3.10
C 0.5000 0.0000 0.0000  2 Cu 1.99
C 0.0000 0.0000 0.5000  2 Cu 1.99

No. 6
Sr2CaCuC: optimized geometry, PBE.

## Properties
Energy of formation from the pure elements   0.47 eV/atom
Symmetry   No. 123
Theoretical density   3.59 g/cm3
Calculated volume   26.90 A^3/atom

abc: 5.8762 3.8950 5.8762
angles: 90.00 90.00 90.00
Last column: nearest neighbours and their distance in Å.
Fractional positions:
Sr 0.5000 0.0000 0.0000  2 C 2.94
Cu 0.0000 0.5000 0.0000  2 C 1.95
C 0.0000 0.0000 0.0000  2 Cu 1.95
Sr 0.0000 0.0000 0.5000  2 C 2.94
Ca 0.5000 0.5000 0.5000  8 Sr 3.52, 2 Ca 3.90

No. 7
CaCu2TcC: optimized geometry, PBE.

## Properties
Energy of formation from the pure elements   3.04 eV/atom
Symmetry   No. 123
Theoretical density   4.20 g/cm3
Calculated volume   21.89 A^3/atom

abc: 4.7128 4.9289 4.7128
angles: 90.00 90.00 90.00
Last column: nearest neighbours and their distance in Å.
Fractional positions:
C 0.5000 0.5000 0.5000  4 Tc 3.33, 8 Cu 3.41
Cu 0.0000 0.0000 0.5000  2 Ca 2.36
Cu 0.5000 0.0000 0.0000  2 Ca 2.36
Tc 0.0000 0.5000 0.0000  2 Ca 2.46
Ca 0.0000 0.0000 0.0000  4 Cu 2.36, 2 Tc 2.46

No. 8
CaDy3C: optimized geometry, PBE.

## Properties
Energy of formation from the pure elements   -0.01 eV/atom
Symmetry   No. 221
Theoretical density   6.72 g/cm3
Calculated volume   26.66 A^3/atom

abc: 5.1080 5.1080 5.1080
angles: 90.00 90.00 90.00
Last column: nearest neighbours and their distance in Å.
Fractional positions:
Dy 0.0000 0.0000 0.5000  2 C 2.55
Ca 0.5000 0.5000 0.5000  12 Dy 3.61
C 0.0000 0.0000 0.0000  6 Dy 2.55
Dy 0.0000 0.5000 0.0000  2 C 2.55
Dy 0.5000 0.0000 0.0000  2 C 2.55

No. 9
CaDy2SnC: optimized geometry, PBE.

## Properties
Energy of formation from the pure elements   -0.53 eV/atom
Symmetry   No. 123
Theoretical density   6.90 g/cm3
Calculated volume   23.88 A^3/atom

abc: 4.9493 4.9117 4.9117
angles: 90.00 90.00 90.00
Last column: nearest neighbours and their distance in Å.
Fractional positions:
C 0.0000 0.0000 0.0000  4 Dy 2.46, 2 Ca 2.47
Ca 0.5000 0.0000 0.0000  2 C 2.47
Dy 0.0000 0.0000 0.5000  2 C 2.46
Sn 0.5000 0.5000 0.5000  4 Ca 3.47, 8 Dy 3.49
Dy 0.0000 0.5000 0.0000  2 C 2.46

No. 10
CaErC: optimized geometry, PBE.

## Properties
Energy of formation from the pure elements   -0.07 eV/atom
Symmetry   No. 156
Theoretical density   4.85 g/cm3
Calculated volume   25.02 A^3/atom

abc: 6.4329 3.6707 3.6707
angles: 120.00 90.00 90.00
Last column: nearest neighbours and their distance in Å.
Fractional positions:
C 0.0241 0.0000 0.0000  3 Er 2.37, 3 Ca 2.61
Er 0.1889 0.3333 0.6667  3 C 2.37
Ca 0.7870 0.6667 0.3333  3 C 2.61

No. 11
Ca2CF: optimized geometry, PBE.

## Properties
Symmetry   No. 122
ΔE_f (raw)   -3.846 eV/f.u.
Theoretical density   2.19 g/cm3
Polymorph energy (0 for the lowest one)   0 meV per atom
Calculated volume   21.04 A^3/atom

abc: 5.4363 5.4363 6.8719
angles: 66.70 66.70 90.00
Last column: nearest neighbours and their distance in Å.
Fractional positions:
Ca 0.8750 0.8771 0.7500  2 F 2.39, 2 C 2.40
Ca 0.6271 0.1250 0.2500  2 F 2.39, 2 C 2.40
C 0.2500 0.7500 0.5000  4 Ca 2.40
Ca 0.1229 0.6250 0.2500  2 F 2.39, 2 C 2.40
Ca 0.3750 0.3729 0.7500  2 F 2.39, 2 C 2.40
F 0.7500 0.2500 0.5000  4 Ca 2.39
C 0.5000 0.5000 0.0000  4 Ca 2.40
F 0.0000 0.0000 0.0000  4 Ca 2.39

No. 12
CaCF: optimized geometry, PBE.

## Properties
Symmetry   No. 6
ΔE_f (raw)   -0.740 eV/f.u.
Theoretical density   2.32 g/cm3
Polymorph energy (0 for the lowest one)   1702 meV per atom
Calculated volume   16.96 A^3/atom

abc: 3.7739 3.2322 4.5808
angles: 90.00 114.43 90.00
Last column: nearest neighbours and their distance in Å.
Fractional positions:
C 0.3284 0.0000 0.4842  1 F 1.60
Ca 0.7358 0.5000 0.2986  2 F 2.42, 4 C 2.60
F 0.5298 0.0000 0.8677  1 C 1.60

No. 13
CaCF: optimized geometry, PBE.

## Properties
Symmetry   No. 12
ΔE_f (raw)   -5.847 eV/f.u.
Theoretical density   2.60 g/cm3
Polymorph energy (0 for the lowest one)   0 meV per atom
Calculated volume   15.15 A^3/atom

abc: 3.8890 3.9035 6.9419
angles: 84.92 90.00 119.88
Last column: nearest neighbours and their distance in Å.
Fractional positions:
F 0.1793 0.3585 0.3862  4 Ca 2.37-2.44
F 0.8207 0.6415 0.6138  4 Ca 2.37-2.44
Ca 0.1472 0.2944 0.7323  4 F 2.37-2.44, 1 C 2.57
C 0.5526 0.1051 0.0696  1 C 1.26
Ca 0.8528 0.7056 0.2677  4 F 2.37-2.44, 1 C 2.57
C 0.4474 0.8949 0.9304  1 C 1.26

No. 14
CaCF: optimized geometry, PBE.

## Properties
Symmetry   No. 5
ΔE_f (raw)   -5.717 eV/f.u.
Theoretical density   2.37 g/cm3
Polymorph energy (0 for the lowest one)   43 meV per atom
Calculated volume   16.62 A^3/atom

abc: 6.4128 5.3183 6.2663
angles: 90.00 111.06 90.00
Last column: nearest neighbours and their distance in Å.
Fractional positions:
F 0.6239 0.8226 0.8542  3 Ca 2.24-2.29
Ca 0.5000 0.6610 0.5000  4 F 2.24-2.29
Ca 0.0000 0.7782 0.0000  2 F 2.26
Ca 0.0000 0.2782 0.5000  2 F 2.26
C 0.0642 0.2758 0.9439  1 C 1.26
Ca 0.5000 0.1610 0.0000  4 F 2.24-2.29
C 0.9358 0.2758 0.0561  1 C 1.26
F 0.3761 0.8226 0.1458  3 Ca 2.24-2.29
F 0.3761 0.3226 0.6458  3 Ca 2.24-2.29
C 0.0642 0.7758 0.4439  1 C 1.26
C 0.9358 0.7758 0.5561  1 C 1.26
F 0.6239 0.3226 0.3542  3 Ca 2.24-2.29

No. 15
CaC2F: optimized geometry, PBE.

## Properties
Symmetry   No. 225
ΔE_f (raw)   6.921 eV/f.u.
Theoretical density   2.68 g/cm3
Polymorph energy (0 for the lowest one)   2070 meV per atom
Calculated volume   12.89 A^3/atom

abc: 4.1773 4.1773 4.1773
angles: 60.00 60.00 60.00
Last column: nearest neighbours and their distance in Å.
Fractional positions:
Ca 0.5000 0.5000 0.5000  8 C 2.56
C 0.7500 0.7500 0.7500  4 F 2.56, 4 Ca 2.56
F 0.0000 0.0000 0.0000  8 C 2.56
C 0.2500 0.2500 0.2500  4 F 2.56, 4 Ca 2.56

No. 16
CaC2F: optimized geometry, PBE.

## Properties
Symmetry   No. 141
ΔE_f (raw)   -1.360 eV/f.u.
Theoretical density   3.01 g/cm3
Polymorph energy (0 for the lowest one)   0 meV per atom
Calculated volume   11.46 A^3/atom

abc: 2.9539 2.9539 10.7164
angles: 82.08 82.08 90.00
Last column: nearest neighbours and their distance in Å.
Fractional positions:
Ca 0.0000 0.0000 0.0000  4 F 2.09
C 0.3750 0.1250 0.2500  2 C 1.48
Ca 0.7500 0.2500 0.5000  4 F 2.09
F 0.2500 0.7500 0.5000  4 Ca 2.09
C 0.3750 0.6250 0.2500  2 C 1.48
F 0.5000 0.5000 0.0000  4 Ca 2.09
C 0.8750 0.6250 0.7500  2 C 1.48
C 0.3750 0.6250 0.7500  2 C 1.48

No. 17
Ca2CF: optimized geometry, PBE.

## Properties
Symmetry   No. 225
ΔE_f (raw)   -3.104 eV/f.u.
Theoretical density   2.99 g/cm3
Polymorph energy (0 for the lowest one)   186 meV per atom
Calculated volume   15.43 A^3/atom

abc: 4.4362 4.4362 4.4362
angles: 60.00 60.00 60.00
Last column: nearest neighbours and their distance in Å.
Fractional positions:
F 0.5000 0.5000 0.5000  8 Ca 2.72
Ca 0.2500 0.2500 0.2500  4 F 2.72, 4 C 2.72
Ca 0.7500 0.7500 0.7500  4 C 2.72, 4 F 2.72
C 0.0000 0.0000 0.0000  8 Ca 2.72

No. 18
CaCF: optimized geometry, PBE.

## Properties
Symmetry   No. 1
ΔE_f (raw)   -5.676 eV/f.u.
Theoretical density   2.58 g/cm3
Polymorph energy (0 for the lowest one)   57 meV per atom
Calculated volume   15.25 A^3/atom

abc: 3.7560 3.8349 7.5146
angles: 85.57 75.79 60.79
Last column: nearest neighbours and their distance in Å.
Fractional positions:
F 0.1847 0.1997 0.4302  3 Ca 2.31-2.33
C 0.6928 0.4825 0.1249  1 C 1.26
F 0.7269 0.8740 0.6743  4 Ca 2.37-2.52
Ca 0.3189 0.5610 0.8044  3 F 2.37-2.44, 3 C 2.57-2.59
C 0.8913 0.2329 0.9902  1 C 1.26
Ca 0.9134 0.8427 0.3281  4 F 2.31-2.52

No. 19
CaCF: optimized geometry, PBE.

## Properties
Symmetry   No. 12
ΔE_f (raw)   -5.810 eV/f.u.
Theoretical density   2.64 g/cm3
Polymorph energy (0 for the lowest one)   12 meV per atom
Calculated volume   14.91 A^3/atom

abc: 6.0377 5.2961 5.7797
angles: 90.00 104.54 90.00
Last column: nearest neighbours and their distance in Å.
Fractional positions:
C 0.0000 0.1192 0.5000  1 C 1.26
Ca 0.2740 0.5000 0.6990  4 F 2.35-2.38
C 0.0000 0.3808 0.0000  1 C 1.26
C 0.0000 0.8808 0.5000  1 C 1.26
Ca 0.7260 0.5000 0.3010  4 F 2.35-2.38
F 0.5000 0.2550 0.5000  4 Ca 2.35-2.38, 1 F 2.59
F 0.5000 0.7450 0.5000  4 Ca 2.35-2.38, 1 F 2.59
Ca 0.2740 0.0000 0.1989  4 F 2.35-2.38
C 0.0000 0.6192 0.0000  1 C 1.26
F 0.5000 0.2450 0.0000  4 Ca 2.35-2.38, 1 F 2.59
Ca 0.7260 0.0000 0.8010  4 F 2.35-2.38
F 0.5000 0.7550 0.0000  4 Ca 2.35-2.38, 1 F 2.59

No. 20
CaCF3: optimized geometry, PBE.

## Properties
Symmetry   No. 221
ΔE_f (raw)   -4.775 eV/f.u.
Theoretical density   2.12 g/cm3
Polymorph energy (0 for the lowest one)   70 meV per atom
Calculated volume   17.11 A^3/atom

abc: 4.4063 4.4063 4.4063
angles: 90.00 90.00 90.00
Last column: nearest neighbours and their distance in Å.
Fractional positions:
F 0.0000 0.0000 0.5000  2 Ca 2.20
C 0.5000 0.5000 0.5000  12 F 3.12
F 0.0000 0.5000 0.0000  2 Ca 2.20
Ca 0.0000 0.0000 0.0000  6 F 2.20
F 0.5000 0.0000 0.0000  2 Ca 2.20